No. 1
Below is an optimized crystal structure of Na5PbS4, with properties calculated at the PBE-GGA level.

abc: 8.096 8.096 8.096
angles: 150.17 113.17 74.87
Element x y z (fractional)
Na 0.000 0.000 0.000
Na 0.123 0.840 0.284
Na 0.444 0.160 0.284
Na 0.556 0.840 0.716
Na 0.877 0.160 0.716
Pb 0.500 0.500 0.000
S 0.203 0.500 0.703
S 0.283 0.283 0.000
S 0.717 0.717 0.000
S 0.797 0.500 0.297

Computed properties:
density	3.13	Mg/m³
E_form (uncorrected)	-70.35	kJ per mole of atoms
crystal system	orthorhombic
density of states at the Fermi level	0.39	states/eV/atom

No. 2
Below is an optimized crystal structure of CaTm2Ni, with properties calculated at the PBE-GGA level.

abc: 9.396 9.396 9.396
angles: 23.96 23.96 23.96
Element x y z (fractional)
Ca 0.000 0.000 0.000
Tm 0.220 0.220 0.220
Tm 0.449 0.449 0.449
Ni 0.834 0.834 0.834

Computed properties:
ΔE_f	-0.1415	eV/atom
density	6.03	Mg/m³
crystal system	trigonal
density of states at the Fermi level	0.95	states/eV/atom

No. 3
Below is an optimized crystal structure of Na3CaTe, with properties calculated at the PBE-GGA level.

abc: 6.003 6.003 6.003
angles: 90.00 90.00 90.00
Element x y z (fractional)
Na 0.000 0.000 0.500
Na 0.000 0.500 0.000
Na 0.500 0.000 0.000
Ca 0.500 0.500 0.500
Te 0.000 0.000 0.000

Computed properties:
density	1.82	Mg/m³
E_form (uncorrected)	-22.19	kJ per mole of atoms
crystal system	cubic
density of states at the Fermi level	0.79	states/eV/atom

No. 4
Below is an optimized crystal structure of Te2OsPtI, with properties calculated at the PBE-GGA level.

abc: 5.070 5.070 5.553
angles: 90.00 90.00 90.00
Element x y z (fractional)
Te 0.000 0.500 0.000
Te 0.500 0.000 0.000
Os 0.000 0.000 0.000
Pt 0.500 0.500 0.500
I 0.000 0.000 0.500

Computed properties:
density	8.93	Mg/m³
E_form (uncorrected)	112.30	kJ per mole of atoms
crystal system	tetragonal
density of states at the Fermi level	1.45	states/eV/atom

No. 5
Below is an optimized crystal structure of SrMn4Ag, with properties calculated at the PBE-GGA level.

abc: 5.464 5.464 5.464
angles: 60.00 60.00 60.00
Element x y z (fractional)
Sr 0.000 0.000 0.000
Mn 0.376 0.376 0.376
Mn 0.376 0.376 0.871
Mn 0.376 0.871 0.376
Mn 0.871 0.376 0.376
Ag 0.750 0.750 0.750

Computed properties:
ΔE_f	0.5624	eV/atom
density	5.98	Mg/m³
crystal system	cubic
density of states at the Fermi level	1.07	states/eV/atom

No. 6
Below is an optimized crystal structure of BeHAu2, with properties calculated at the PBE-GGA level.

abc: 5.401 5.401 5.401
angles: 120.60 120.60 88.96
Element x y z (fractional)
Be 0.000 0.000 0.000
Be 0.750 0.250 0.500
H 0.250 0.750 0.500
H 0.500 0.500 0.000
Au 0.178 0.625 0.054
Au 0.375 0.428 0.554
Au 0.572 0.125 0.946
Au 0.875 0.822 0.446

Computed properties:
density	12.16	Mg/m³
crystal system	tetragonal
density of states at the Fermi level	0.17	states/eV/atom
electronic total energy	-25.3	eV per cell

No. 7
Below is an optimized crystal structure of HfSe2N, with properties calculated at the PBE-GGA level.

abc: 7.344 7.344 7.344
angles: 28.82 28.82 28.82
Element x y z (fractional)
Hf 0.000 0.000 0.000
Se 0.413 0.413 0.413
Se 0.587 0.587 0.587
N 0.500 0.500 0.500

Computed properties:
density	7.15	Mg/m³
E_form (uncorrected)	23.77	kJ per mole of atoms
crystal system	trigonal
density of states at the Fermi level	0.85	states/eV/atom

No. 8
Below is an optimized crystal structure of MgAlNi, with properties calculated at the PBE-GGA level.

abc: 4.256 4.256 4.256
angles: 60.00 60.00 60.00
Element x y z (fractional)
Mg 0.000 0.000 0.000
Al 0.750 0.750 0.750
Ni 0.250 0.250 0.250

Computed properties:
ΔE_f	0.4239	eV/atom
density	3.35	Mg/m³
crystal system	cubic
density of states at the Fermi level	0.73	states/eV/atom